No. 1
Density functional theory data (PBE) for ScBAs2Cl after structural relaxation.

Unit cell a=4.301 b=4.916 c=4.301 alpha=90.00 beta=90.00 gamma=90.00
Element x y z (fractional)
Sc: 0.500 0.500 0.500
As: 0.000 0.000 0.500
As: 0.500 0.000 0.000
B: 0.000 0.000 0.000
Cl: 0.000 0.500 0.000

## Properties
Raw formation energy   0.15 eV/atom
Total moment   0.000 μB/cell

=====

No. 2
Density functional theory data (PBE) for BAsSe2Cl after structural relaxation.

Unit cell a=5.107 b=5.107 c=4.872 alpha=90.00 beta=90.00 gamma=90.00
Each line ends with the local moment (μB).
Element x y z (fractional)
As: 0.000 0.000 0.500  0.49
B: 0.500 0.500 0.500  -0.01
Se: 0.000 0.500 0.000  0.26
Se: 0.500 0.000 0.000  0.26
Cl: 0.000 0.000 0.000  0.11

## Properties
ΔE to the lowest computed polymorph   1.059 eV/atom
Raw formation energy   1.79 eV/atom
Total moment   1.928 μB/cell

=====

No. 3
Density functional theory data (PBE) for BAsSe2Cl after structural relaxation.

Unit cell a=4.392 b=4.392 c=4.853 alpha=90.00 beta=90.00 gamma=90.00
Element x y z (fractional)
As: 0.000 0.000 0.500
B: 0.000 0.000 0.000
Se: 0.000 0.500 0.000
Se: 0.500 0.000 0.000
Cl: 0.500 0.500 0.500

## Properties
ΔE to the lowest computed polymorph   0.000 eV/atom
Raw formation energy   0.73 eV/atom
Total moment   0.000 μB/cell

=====

No. 4
Density functional theory data (PBE) for BAs2SeCl after structural relaxation.

Unit cell a=4.571 b=4.571 c=4.422 alpha=90.00 beta=90.00 gamma=90.00
Element x y z (fractional)
As: 0.000 0.500 0.000
As: 0.500 0.000 0.000
B: 0.000 0.000 0.000
Se: 0.000 0.000 0.500
Cl: 0.500 0.500 0.500

## Properties
ΔE to the lowest computed polymorph   0.000 eV/atom
Raw formation energy   0.74 eV/atom
Total moment   0.000 μB/cell

=====

No. 5
Density functional theory data (PBE) for BAs2SeCl after structural relaxation.

Unit cell a=4.851 b=4.851 c=5.252 alpha=90.00 beta=90.00 gamma=90.00
Each line ends with the local moment (μB).
Element x y z (fractional)
As: 0.000 0.500 0.000  0.21
As: 0.500 0.000 0.000  0.21
B: 0.500 0.500 0.500  0.00
Se: 0.000 0.000 0.500  0.05
Cl: 0.000 0.000 0.000  0.01

## Properties
ΔE to the lowest computed polymorph   1.102 eV/atom
Raw formation energy   1.85 eV/atom
Total moment   0.968 μB/cell

=====

No. 6
Density functional theory data (PBE) for BTeAsCl2 after structural relaxation.

Unit cell a=5.217 b=5.622 c=5.217 alpha=90.00 beta=90.00 gamma=90.00
Each line ends with the local moment (μB).
Element x y z (fractional)
As: 0.000 0.500 0.000  0.19
Te: 0.000 0.000 0.000  -0.02
B: 0.500 0.500 0.500  -0.04
Cl: 0.000 0.000 0.500  0.01
Cl: 0.500 0.000 0.000  0.01

## Properties
Raw formation energy   1.15 eV/atom
Total moment   0.323 μB/cell

=====

No. 7
Density functional theory data (PBE) for TlBAs2Cl after structural relaxation.

Unit cell a=4.254 b=7.812 c=4.254 alpha=90.00 beta=90.00 gamma=90.00
Element x y z (fractional)
Tl: 0.500 0.500 0.500
B: 0.000 0.000 0.000
As: 0.000 0.000 0.500
As: 0.500 0.000 0.000
Cl: 0.000 0.500 0.000

## Properties
Raw formation energy   0.40 eV/atom
Total moment   0.000 μB/cell

=====

No. 8
Density functional theory data (PBE) for YB2AsCl after structural relaxation.

Unit cell a=5.004 b=5.573 c=5.004 alpha=90.00 beta=90.00 gamma=90.00
Each line ends with the local moment (μB).
Element x y z (fractional)
Y: 0.000 0.000 0.000  0.06
As: 0.000 0.500 0.000  0.29
B: 0.000 0.000 0.500  0.02
B: 0.500 0.000 0.000  0.02
Cl: 0.500 0.500 0.500  0.19

## Properties
Raw formation energy   1.65 eV/atom
Total moment   1.045 μB/cell